[1]
VASP calculation (PBE) on an optimized crystal structure of LaIr3.

Cell lengths 7.747, 7.185, 5.672 Å; angles 90.00, 90.00, 90.00 degrees
Space group Pnma (No. 62)
One atom of each set of equivalent atoms:
La: 0.031 0.250 0.126
Ir: 0.132 0.750 0.349
Ir: 0.158 0.062 0.577

Properties
**ΔE_f**: -0.3467 eV per atom

[2]
VASP calculation (PBE) on an optimized crystal structure of Na3GaBi3O8.

Cell lengths 6.8107, 6.8107, 17.0855 Å; angles 90.00, 90.00, 120.00 degrees
Space group R-3m (No. 166, hexagonal axes)
One atom of each set of equivalent atoms:
Na: 0.0000 0.5000 0.0000
Ga: 0.0000 0.0000 0.5000
Bi: 0.0000 0.5000 0.5000
O: 0.0000 0.0000 0.2449
O: 0.0395 0.5198 0.2336

Properties
**Formation energy from raw total energies**: -1.334 eV per atom

[3]
VASP calculation (PBE) on an optimized crystal structure of P2OsClO.

Cell lengths 4.511, 4.511, 4.812 Å; angles 90.00, 90.00, 90.00 degrees
Space group P4/mmm (No. 123)
One atom of each set of equivalent atoms:
P: 0.000 0.500 0.000
Os: 0.000 0.000 0.000
Cl: 0.000 0.000 0.500
O: 0.500 0.500 0.500

Properties
**Formation energy from raw total energies**: 0.936 eV per atom
**Offset from the most stable computed form**: 742 meV per atom

[4]
VASP calculation (PBE) on an optimized crystal structure of TbDy2Au.

Cell lengths 3.7352, 3.7352, 29.4145 Å; angles 90.00, 90.00, 120.00 degrees
Space group R3m (No. 160, hexagonal axes)
One atom of each set of equivalent atoms:
Tb: 0.0000 0.0000 0.0000
Dy: 0.0000 0.0000 0.5687
Dy: 0.0000 0.0000 0.7633
Au: 0.0000 0.0000 0.1655

Properties
**ΔE_f**: -0.2838 eV per atom
**Offset from the most stable computed form**: 159 meV per atom

[5]
VASP calculation (PBE) on an optimized crystal structure of PmAs3PdRh2.

Cell lengths 7.4152, 7.4152, 18.9560 Å; angles 90.00, 90.00, 120.00 degrees
Space group R-3m (No. 166, hexagonal axes)
One atom of each set of equivalent atoms:
Pm: 0.0000 0.0000 0.2372
As: 0.0447 0.5223 0.2566
Pd: 0.0000 0.0000 0.0898
Rh: 0.0000 0.0000 0.5000
Rh: 0.0000 0.5000 0.0000

Properties
**ΔE_f**: -0.4379 eV per atom

Final energy for every record listed, in sequence, given in eV per cell: -131.6, -234.9, -24.2, -54.7, -250.0.
Total magnetic moment for every record listed, in sequence, given in μB/cell: 0.00, 0.00, 0.00, 1.41, 0.00.